Version w
The following is a DFT calculation (PBE) of BeCrBr after structural relaxation.

Structure (POSCAR):
```
BeCrBr
1.0
0.000 3.078 3.078
3.078 0.000 3.078
3.078 3.078 0.000
Be Cr Br
1 1 1
direct
0.000 0.000 0.000 Be
0.250 0.250 0.250 Cr
0.500 0.500 0.500 Br
```

Values from the calculation:
theoretical density	4.0	g/cm3
symmetry	F-43m (216)
density of states at the Fermi level	1.83	states/eV/cell

Version x
The following is a DFT calculation (PBE) of BeCrBr after structural relaxation.

Structure (POSCAR):
```
BeCrBr
1.0
0.000 2.843 5.861
1.672 0.000 5.861
1.672 2.843 0.000
Be Cr Br
1 1 1
direct
0.000 0.000 0.000 Be
0.353 0.353 0.647 Cr
0.633 0.633 0.367 Br
```

Values from the calculation:
theoretical density	4.2	g/cm3
symmetry	Fmm2 (42)
density of states at the Fermi level	1.44	states/eV/cell

Version y
The following is a DFT calculation (PBE) of BeCrBr after structural relaxation.

Structure (POSCAR):
```
BeCrBr
1.0
5.634 -1.589 0.000
5.634 1.589 0.000
-0.928 0.000 3.111
Be Cr Br
1 1 1
direct
0.000 0.000 0.000 Be
0.622 0.622 0.621 Cr
0.348 0.348 0.850 Br
```

Values from the calculation:
theoretical density	4.2	g/cm3
symmetry	Cm (8)
density of states at the Fermi level	1.30	states/eV/cell

Tell me which of them is the least stable. Sure, it is version w.

Version w
The following is a DFT calculation (PBE) of YBeCrBr2 after structural relaxation.

Structure (POSCAR):
```
YBeCrBr2
1.0
5.488 0.000 0.000
0.000 5.488 0.000
0.000 0.000 6.206
Y Be Cr Br
1 1 1 2
direct
0.000 0.000 0.000 Y
0.500 0.500 0.500 Be
0.000 0.000 0.500 Cr
0.000 0.500 0.000 Br
0.500 0.000 0.000 Br
```

Values from the calculation:
theoretical density	2.8	g/cm3
symmetry	P4/mmm (123)
density of states at the Fermi level	1.19	states/eV/cell

Version x
The following is a DFT calculation (PBE) of YBeCrBr2 after structural relaxation.

Structure (POSCAR):
```
YBeCrBr2
1.0
5.512 0.000 0.000
0.000 5.512 0.000
0.000 0.000 5.714
Y Be Cr Br
1 1 1 2
direct
0.000 0.000 0.000 Y
0.000 0.000 0.500 Be
0.500 0.500 0.500 Cr
0.000 0.500 0.000 Br
0.500 0.000 0.000 Br
```

Values from the calculation:
theoretical density	3.0	g/cm3
symmetry	P4/mmm (123)
density of states at the Fermi level	1.88	states/eV/cell

Tell me which of them is the least stable. Sure, it is version w.

Version w
The following is a DFT calculation (PBE) of CsBeBr2 after structural relaxation.

Structure (POSCAR):
```
CsBeBr2
1.0
0.000 4.034 4.034
4.034 0.000 4.034
4.034 4.034 0.000
Cs Be Br
1 1 2
direct
0.000 0.000 0.000 Cs
0.500 0.500 0.500 Be
0.250 0.250 0.250 Br
0.750 0.750 0.750 Br
```

Values from the calculation:
theoretical density	3.8	g/cm3
symmetry	Fm-3m (225)
density of states at the Fermi level	1.11	states/eV/cell

Version x
The following is a DFT calculation (PBE) of CsBeBr2 after structural relaxation.

Structure (POSCAR):
```
CsBeBr2
1.0
-3.555 3.555 6.339
3.555 -3.555 6.339
3.555 3.555 -6.339
Cs Be Br
2 2 4
direct
0.000 0.000 0.000 Cs
0.750 0.250 0.500 Cs
0.250 0.750 0.500 Be
0.500 0.500 0.000 Be
0.276 0.625 0.151 Br
0.375 0.526 0.651 Br
0.474 0.125 0.849 Br
0.875 0.724 0.349 Br
```

Values from the calculation:
theoretical density	3.1	g/cm3
symmetry	I-42d (122)
density of states at the Fermi level	0.33	states/eV/cell

Tell me which of them is the least stable. Sure, it is version w.